No. 1
LiInPb2: optimized geometry, PBEsol.

Computed properties:
**Space-group type**: P4/mmm, No. 123
**E_form**: -43 kJ/mol of formula units

Cell lengths 3.434, 3.434, 8.449 Å; angles 90.00, 90.00, 90.00 degrees
Positions (direct):
Li: 0.000 0.000 0.000
In: 0.000 0.000 0.500
Pb: 0.500 0.500 0.219
Pb: 0.500 0.500 0.781


No. 2
LiInPb2: optimized geometry, PBEsol.

Computed properties:
**Space-group type**: Pmm2, No. 25
**E_form**: -43 kJ/mol of formula units

Cell lengths 3.528, 4.420, 6.611 Å; angles 90.00, 90.00, 90.00 degrees
Positions (direct):
Li: 0.000 0.000 0.000
In: 0.500 0.500 0.768
Pb: 0.000 0.000 0.515
Pb: 0.500 0.500 0.240


No. 3
LiInPb2: optimized geometry, PBEsol.

Computed properties:
**Space-group type**: I4/mmm, No. 139
**E_form**: -51 kJ/mol of formula units

Cell lengths 5.666, 5.666, 5.666 Å; angles 130.53, 130.53, 72.56 degrees
Positions (direct):
Li: 0.000 0.000 0.000
In: 0.500 0.500 0.000
Pb: 0.250 0.750 0.500
Pb: 0.750 0.250 0.500


No. 4
LiIn2Pb: optimized geometry, PBEsol.

Computed properties:
**Space-group type**: I-4m2, No. 119
**E_form**: -53 kJ/mol of formula units

Cell lengths 5.638, 5.638, 5.638 Å; angles 131.91, 131.91, 70.36 degrees
Positions (direct):
Li: 0.000 0.000 0.000
In: 0.250 0.750 0.500
In: 0.500 0.500 0.000
Pb: 0.750 0.250 0.500


Short version: density of states at the Fermi level = 1.6; 1.6; 1.7; 1.5 states/eV/cell, in the order given.
Short version: total moment = 0.0; 0.0; 0.0; 0.0 μB per formula unit, in the order given.